(1)
# SmIn4Cl7 (PBE, relaxed)
# N(E_F) (states/eV per cell): 0.00
# Formation energy (no corrections) (eV per atom): -1.285
data_SmIn4Cl7
_cell_length_a 21.133
_cell_length_b 5.342
_cell_length_c 7.573
_cell_angle_alpha 90.00
_cell_angle_beta 107.94
_cell_angle_gamma 90.00
_space_group_name_H-M_alt 'C 1 2/m 1'
_space_group_IT_number 12
loop_
_space_group_symop_operation_xyz
'x,y,z'
'-x,-y,-z'
'-x,y,-z'
'x,-y,z'
'x+1/2,y+1/2,z'
'-x+1/2,-y+1/2,-z'
'-x+1/2,y+1/2,-z'
'x+1/2,-y+1/2,z'
loop_
_atom_site_label
_atom_site_fract_x
_atom_site_fract_y
_atom_site_fract_z
Sm1 0.000 0.000 0.000
In1 0.086 0.500 0.626
In2 0.199 0.500 0.246
Cl1 0.000 0.500 0.000
Cl2 0.083 0.000 0.351
Cl3 0.109 0.000 0.881
Cl4 0.222 0.500 0.650



(2)
# AuCIN2 (PBE, relaxed)
# N(E_F) (states/eV per cell): 2.19
# Formation energy (no corrections) (eV per atom): 2.633
# E above lowest polymorph (kcal/mol of atoms): 2.66
data_AuCIN2
_cell_length_a 3.898
_cell_length_b 3.898
_cell_length_c 8.594
_cell_angle_alpha 90.00
_cell_angle_beta 90.00
_cell_angle_gamma 90.00
_space_group_name_H-M_alt 'P 4/m m m'
_space_group_IT_number 123
_space_group_name_Hall '-P 4 2'
loop_
_atom_site_label
_atom_site_fract_x
_atom_site_fract_y
_atom_site_fract_z
Au1 0.000 0.000 0.000
C1 0.500 0.500 0.500
I1 0.000 0.000 0.500
N1 0.000 0.500 0.000



(3)
# TmSnSbO6 (PBE, relaxed)
# Formation energy (no corrections) (eV per atom): -2.003
data_TmSnSbO6
_cell_length_a 5.4287
_cell_length_b 5.4287
_cell_length_c 8.9335
_cell_angle_alpha 90.00
_cell_angle_beta 90.00
_cell_angle_gamma 120.00
_space_group_name_H-M_alt 'P -3 1 c'
_space_group_IT_number 163
_space_group_name_Hall '-P 3 2c'
loop_
_atom_site_label
_atom_site_fract_x
_atom_site_fract_y
_atom_site_fract_z
Tm1 0.3333 0.6667 0.2500
Sn1 0.0000 0.0000 0.0000
Sb1 0.3333 0.6667 0.7500
O1 0.0284 0.3466 0.6265



(4)
# BeRhCl2 (PBE, relaxed)
# N(E_F) (states/eV per cell): 0.30
# Formation energy (no corrections) (eV per atom): -0.321
# E above lowest polymorph (kcal/mol of atoms): 1.43
data_BeRhCl2
_cell_length_a 3.171
_cell_length_b 3.810
_cell_length_c 12.877
_cell_angle_alpha 90.00
_cell_angle_beta 90.00
_cell_angle_gamma 90.00
_space_group_name_H-M_alt 'I m m m'
_space_group_IT_number 71
_space_group_name_Hall '-I 2 2'
loop_
_atom_site_label
_atom_site_fract_x
_atom_site_fract_y
_atom_site_fract_z
Be1 0.000 0.000 0.000
Rh1 0.000 0.000 0.500
Cl1 0.000 0.500 0.374



Repeat the second record exactly.
# AuCIN2 (PBE, relaxed)
# N(E_F) (states/eV per cell): 2.19
# Formation energy (no corrections) (eV per atom): 2.633
# E above lowest polymorph (kcal/mol of atoms): 2.66
data_AuCIN2
_cell_length_a 3.898
_cell_length_b 3.898
_cell_length_c 8.594
_cell_angle_alpha 90.00
_cell_angle_beta 90.00
_cell_angle_gamma 90.00
_space_group_name_H-M_alt 'P 4/m m m'
_space_group_IT_number 123
_space_group_name_Hall '-P 4 2'
loop_
_atom_site_label
_atom_site_fract_x
_atom_site_fract_y
_atom_site_fract_z
Au1 0.000 0.000 0.000
C1 0.500 0.500 0.500
I1 0.000 0.000 0.500
N1 0.000 0.500 0.000